#A
Material: Ca2ZrNi
Method: DFT, PBEsol
State: optimized geometry

Values from the calculation:
Volume = 23.00 A^3/atom
Total magnetization = 0.002 μB per cell

Cell lengths 3.3829, 4.6140, 6.0241 Å; angles 90.00, 101.88, 90.00 degrees
With the nearest neighbours (Å) after each atom.
Element x y z (fractional)
Ni: 0.5000 0.5000 0.0000  4 Ca 2.88, 2 Zr 3.01
Ca: 0.0967 0.0000 0.7727  2 Ni 2.88, 2 Ca 2.94-3.22
Ca: 0.9033 0.0000 0.2273  2 Ni 2.88, 2 Ca 2.94-3.22
Zr: 0.5000 0.5000 0.5000  2 Ni 3.01, 8 Ca 3.28-3.29

#B
Material: Ca2ZrNi
Method: DFT, PBEsol
State: optimized geometry

Values from the calculation:
Volume = 24.91 A^3/atom
Total magnetization = 0.000 μB per cell

Cell lengths 3.4161, 5.3991, 6.2757 Å; angles 115.48, 105.79, 90.00 degrees
With the nearest neighbours (Å) after each atom.
Element x y z (fractional)
Ni: 0.5204 0.5204 0.0408  2 Zr 2.44
Ca: 0.9961 0.9961 0.9923  4 Ni 3.21, 2 Zr 3.37, 4 Ca 3.42
Ca: 0.8012 0.3012 0.6025  2 Ni 2.92
Zr: 0.1822 0.6822 0.3645  2 Ni 2.44

Pick #B: it beats the second-best structure by 323 meV/atom.

#A
Material: SrCaP2O
Method: DFT, PBEsol
State: optimized geometry

Values from the calculation:
Volume = 25.65 A^3/atom
Total magnetization = 1.690 μB per cell

Cell lengths 4.4386, 5.3755, 5.3755 Å; angles 90.00, 90.00, 90.00 degrees
With the nearest neighbours (Å) after each atom.
Element x y z (fractional)
Sr: 0.0000 0.0000 0.0000  2 O 2.22
Ca: 0.5000 0.5000 0.5000  8 P 3.49, 4 O 3.80
O: 0.5000 0.0000 0.0000  2 Sr 2.22
P: 0.0000 0.0000 0.5000  2 Sr 2.69
P: 0.0000 0.5000 0.0000  2 Sr 2.69

#B
Material: SrCaP2O
Method: DFT, PBEsol
State: optimized geometry

Values from the calculation:
Volume = 23.64 A^3/atom
Total magnetization = 1.762 μB per cell

Cell lengths 4.3160, 5.2332, 5.2332 Å; angles 90.00, 90.00, 90.00 degrees
With the nearest neighbours (Å) after each atom.
Element x y z (fractional)
Sr: 0.5000 0.5000 0.5000  8 P 3.39, 4 O 3.70
Ca: 0.0000 0.0000 0.0000  2 O 2.16
O: 0.5000 0.0000 0.0000  2 Ca 2.16
P: 0.0000 0.0000 0.5000  2 Ca 2.62
P: 0.0000 0.5000 0.0000  2 Ca 2.62

Pick #B: it beats the second-best structure by 342 meV/atom.

#A
Material: CaTiP2O
Method: DFT, PBEsol
State: optimized geometry

Values from the calculation:
Volume = 19.84 A^3/atom
Total magnetization = 0.022 μB per cell

Cell lengths 4.0046, 4.9765, 4.9765 Å; angles 90.00, 90.00, 90.00 degrees
With the nearest neighbours (Å) after each atom.
Element x y z (fractional)
P: 0.0000 0.0000 0.5000  2 Ca 2.49
P: 0.0000 0.5000 0.0000  2 Ca 2.49
Ca: 0.0000 0.0000 0.0000  2 O 2.00
O: 0.5000 0.0000 0.0000  2 Ca 2.00
Ti: 0.5000 0.5000 0.5000  8 P 3.19, 4 O 3.52

#B
Material: CaTiP2O
Method: DFT, PBEsol
State: optimized geometry

Values from the calculation:
Volume = 17.85 A^3/atom
Total magnetization = 0.002 μB per cell

Cell lengths 3.7443, 4.8826, 4.8826 Å; angles 90.00, 90.00, 90.00 degrees
With the nearest neighbours (Å) after each atom.
Element x y z (fractional)
P: 0.0000 0.0000 0.5000  2 Ti 2.44
P: 0.0000 0.5000 0.0000  2 Ti 2.44
Ca: 0.5000 0.5000 0.5000  8 P 3.08
O: 0.5000 0.0000 0.0000  2 Ti 1.87
Ti: 0.0000 0.0000 0.0000  2 O 1.87

Pick #B: it beats the second-best structure by 1581 meV/atom.

#A
Material: CaZnP2O
Method: DFT, PBEsol
State: optimized geometry

Values from the calculation:
Volume = 22.20 A^3/atom
Total magnetization = 0.015 μB per cell

Cell lengths 4.0546, 5.2321, 5.2321 Å; angles 90.00, 90.00, 90.00 degrees
With the nearest neighbours (Å) after each atom.
Element x y z (fractional)
P: 0.0000 0.0000 0.5000  2 Ca 2.62
P: 0.0000 0.5000 0.0000  2 Ca 2.62
Zn: 0.5000 0.5000 0.5000  8 P 3.31, 4 O 3.70
Ca: 0.0000 0.0000 0.0000  2 O 2.03
O: 0.5000 0.0000 0.0000  2 Ca 2.03

#B
Material: CaZnP2O
Method: DFT, PBEsol
State: optimized geometry

Values from the calculation:
Volume = 17.72 A^3/atom
Total magnetization = 0.002 μB per cell

Cell lengths 3.6325, 4.9391, 4.9391 Å; angles 90.00, 90.00, 90.00 degrees
With the nearest neighbours (Å) after each atom.
Element x y z (fractional)
P: 0.0000 0.0000 0.5000  2 Zn 2.47
P: 0.0000 0.5000 0.0000  2 Zn 2.47
Zn: 0.0000 0.0000 0.0000  2 O 1.82
Ca: 0.5000 0.5000 0.5000  8 P 3.07
O: 0.5000 0.0000 0.0000  2 Zn 1.82

Pick #B: it beats the second-best structure by 793 meV/atom.